No. 1
Here is a relaxed LaGe2PtAu crystal from OQMD via LeMat-Bulk. Energies are from PBE-GGA.

Values from the calculation:
DFT total energy in eV/atom: -5.54
V in Å³/f.u.: 103
Spin magnetization in μB per atom: 0.0014

abc: 4.454 4.454 10.348
angles: 90.00 90.00 90.00
Atoms (fractional coordinates):
La (0.250, 0.250, 0.245)
La (0.750, 0.750, 0.755)
Ge (0.250, 0.250, 0.644)
Ge (0.250, 0.750, 0.000)
Ge (0.750, 0.250, 0.000)
Ge (0.750, 0.750, 0.356)
Pt (0.250, 0.250, 0.882)
Pt (0.750, 0.750, 0.118)
Au (0.250, 0.750, 0.500)
Au (0.750, 0.250, 0.500)

=====

No. 2
Here is a relaxed GdSi2O4 crystal from OQMD via LeMat-Bulk. Energies are from PBE-GGA.

Values from the calculation:
DFT total energy in eV/atom: -6.62
V in Å³/f.u.: 92
Spin magnetization in μB per atom: 0.0007

abc: 6.380 6.380 6.380
angles: 60.00 60.00 60.00
Atoms (fractional coordinates):
Gd (0.125, 0.125, 0.125)
Gd (0.875, 0.875, 0.875)
Si (0.000, 0.500, 0.500)
Si (0.500, 0.000, 0.500)
Si (0.500, 0.500, 0.000)
Si (0.500, 0.500, 0.500)
O (0.266, 0.266, 0.266)
O (0.266, 0.266, 0.703)
O (0.266, 0.703, 0.266)
O (0.297, 0.734, 0.734)
O (0.703, 0.266, 0.266)
O (0.734, 0.297, 0.734)
O (0.734, 0.734, 0.297)
O (0.734, 0.734, 0.734)

=====

No. 3
Here is a relaxed TbGeNO crystal from OQMD via LeMat-Bulk. Energies are from PBE-GGA.

Values from the calculation:
DFT total energy in eV/atom: -7.03
V in Å³/f.u.: 58
Spin magnetization in μB per atom: 0.0005
Energy relative to the lowest polymorph listed for this composition in eV per formula unit: 1.08

abc: 6.427 6.631 5.487
angles: 90.00 90.00 90.00
Atoms (fractional coordinates):
Tb (0.072, 0.180, 0.000)
Tb (0.428, 0.180, 0.500)
Tb (0.572, 0.820, 0.000)
Tb (0.928, 0.820, 0.500)
Ge (0.111, 0.675, 0.005)
Ge (0.389, 0.675, 0.505)
Ge (0.611, 0.325, 0.005)
Ge (0.889, 0.325, 0.505)
N (0.088, 0.124, 0.585)
N (0.412, 0.124, 0.085)
N (0.588, 0.876, 0.585)
N (0.912, 0.876, 0.085)
O (0.047, 0.465, 0.241)
O (0.453, 0.465, 0.741)
O (0.547, 0.535, 0.241)
O (0.953, 0.535, 0.741)

=====

No. 4
Here is a relaxed ZrS2N crystal from OQMD via LeMat-Bulk. Energies are from PBE-GGA.

Values from the calculation:
DFT total energy in eV/atom: -5.98
V in Å³/f.u.: 86
Spin magnetization in μB per atom: 0.7519

abc: 3.576 3.576 15.506
angles: 90.00 90.00 120.00
Atoms (fractional coordinates):
Zr (0.333, 0.667, 0.250)
Zr (0.667, 0.333, 0.750)
S (0.333, 0.667, 0.649)
S (0.333, 0.667, 0.851)
S (0.667, 0.333, 0.149)
S (0.667, 0.333, 0.351)
N (0.000, 0.000, 0.000)
N (0.000, 0.000, 0.500)

=====

No. 5
Here is a relaxed BeCd2Pt crystal from OQMD via LeMat-Bulk. Energies are from PBE-GGA.

Values from the calculation:
DFT total energy in eV/atom: -2.88
V in Å³/f.u.: 65
Spin magnetization in μB per atom: 0.0002

abc: 6.383 6.383 6.383
angles: 90.00 90.00 90.00
Atoms (fractional coordinates):
Be (0.000, 0.000, 0.000)
Be (0.000, 0.500, 0.500)
Be (0.500, 0.000, 0.500)
Be (0.500, 0.500, 0.000)
Cd (0.000, 0.000, 0.500)
Cd (0.000, 0.500, 0.000)
Cd (0.250, 0.250, 0.250)
Cd (0.250, 0.750, 0.750)
Cd (0.500, 0.000, 0.000)
Cd (0.500, 0.500, 0.500)
Cd (0.750, 0.250, 0.750)
Cd (0.750, 0.750, 0.250)
Pt (0.250, 0.250, 0.750)
Pt (0.250, 0.750, 0.250)
Pt (0.750, 0.250, 0.250)
Pt (0.750, 0.750, 0.750)

=====

No. 6
Here is a relaxed Ge3Ir2S3 crystal from OQMD via LeMat-Bulk. Energies are from PBE-GGA.

Values from the calculation:
DFT total energy in eV/atom: -5.64
V in Å³/f.u.: 151
Spin magnetization in μB per atom: 0.0000
Energy relative to the lowest polymorph listed for this composition in eV per formula unit: 2.92

abc: 8.460 8.460 8.460
angles: 90.00 90.00 90.00
Atoms (fractional coordinates):
Ge (0.000, 0.143, 0.322)
Ge (0.000, 0.143, 0.678)
Ge (0.000, 0.857, 0.322)
Ge (0.000, 0.857, 0.678)
Ge (0.143, 0.322, 0.000)
Ge (0.143, 0.678, 0.000)
Ge (0.322, 0.000, 0.143)
Ge (0.322, 0.000, 0.857)
Ge (0.678, 0.000, 0.143)
Ge (0.678, 0.000, 0.857)
Ge (0.857, 0.322, 0.000)
Ge (0.857, 0.678, 0.000)
Ir (0.264, 0.264, 0.264)
Ir (0.264, 0.264, 0.736)
Ir (0.264, 0.736, 0.264)
Ir (0.264, 0.736, 0.736)
Ir (0.736, 0.264, 0.264)
Ir (0.736, 0.264, 0.736)
Ir (0.736, 0.736, 0.264)
Ir (0.736, 0.736, 0.736)
S (0.172, 0.500, 0.373)
S (0.172, 0.500, 0.627)
S (0.373, 0.172, 0.500)
S (0.373, 0.828, 0.500)
S (0.500, 0.373, 0.172)
S (0.500, 0.373, 0.828)
S (0.500, 0.627, 0.172)
S (0.500, 0.627, 0.828)
S (0.627, 0.172, 0.500)
S (0.627, 0.828, 0.500)
S (0.828, 0.500, 0.373)
S (0.828, 0.500, 0.627)

=====

No. 7
Here is a relaxed Pr3Re2W3N12 crystal from OQMD via LeMat-Bulk. Energies are from PBE-GGA.

Values from the calculation:
DFT total energy in eV/atom: -9.52
V in Å³/f.u.: 273
Spin magnetization in μB per atom: 0.0187

abc: 11.230 11.230 11.230
angles: 109.47 109.47 109.47
Atoms (fractional coordinates):
Pr (0.125, 0.250, 0.375)
Pr (0.125, 0.375, 0.750)
Pr (0.250, 0.375, 0.125)
Pr (0.250, 0.875, 0.625)
Pr (0.375, 0.125, 0.250)
Pr (0.375, 0.750, 0.125)
Pr (0.625, 0.250, 0.875)
Pr (0.625, 0.875, 0.750)
Pr (0.750, 0.125, 0.375)
Pr (0.750, 0.625, 0.875)
Pr (0.875, 0.625, 0.250)
Pr (0.875, 0.750, 0.625)
Re (0.000, 0.000, 0.000)
Re (0.000, 0.000, 0.500)
Re (0.000, 0.500, 0.000)
Re (0.000, 0.500, 0.500)
Re (0.500, 0.000, 0.000)
Re (0.500, 0.000, 0.500)
Re (0.500, 0.500, 0.000)
Re (0.500, 0.500, 0.500)
W (0.125, 0.750, 0.875)
W (0.125, 0.875, 0.250)
W (0.250, 0.125, 0.875)
W (0.250, 0.625, 0.375)
W (0.375, 0.250, 0.625)
W (0.375, 0.625, 0.750)
W (0.625, 0.375, 0.250)
W (0.625, 0.750, 0.375)
W (0.750, 0.375, 0.625)
W (0.750, 0.875, 0.125)
W (0.875, 0.125, 0.750)
W (0.875, 0.250, 0.125)
N (0.012, 0.192, 0.112)
N (0.012, 0.319, 0.900)
N (0.080, 0.692, 0.681)
N (0.080, 0.888, 0.400)
N (0.100, 0.612, 0.420)
N (0.100, 0.988, 0.681)
N (0.112, 0.012, 0.192)
N (0.112, 0.600, 0.920)
N (0.181, 0.192, 0.580)
N (0.181, 0.488, 0.600)
N (0.192, 0.112, 0.012)
N (0.192, 0.580, 0.181)
N (0.308, 0.319, 0.920)
N (0.308, 0.488, 0.388)
N (0.319, 0.900, 0.012)
N (0.319, 0.920, 0.308)
N (0.388, 0.308, 0.488)
N (0.388, 0.580, 0.900)
N (0.400, 0.080, 0.888)
N (0.400, 0.819, 0.512)
N (0.420, 0.100, 0.612)
N (0.420, 0.819, 0.808)
N (0.488, 0.388, 0.308)
N (0.488, 0.600, 0.181)
N (0.512, 0.400, 0.819)
N (0.512, 0.612, 0.692)
N (0.580, 0.181, 0.192)
N (0.580, 0.900, 0.388)
N (0.600, 0.181, 0.488)
N (0.600, 0.920, 0.112)
N (0.612, 0.420, 0.100)
N (0.612, 0.692, 0.512)
N (0.681, 0.080, 0.692)
N (0.681, 0.100, 0.988)
N (0.692, 0.512, 0.612)
N (0.692, 0.681, 0.080)
N (0.808, 0.420, 0.819)
N (0.808, 0.888, 0.988)
N (0.819, 0.512, 0.400)
N (0.819, 0.808, 0.420)
N (0.888, 0.400, 0.080)
N (0.888, 0.988, 0.808)
N (0.900, 0.012, 0.319)
N (0.900, 0.388, 0.580)
N (0.920, 0.112, 0.600)
N (0.920, 0.308, 0.319)
N (0.988, 0.681, 0.100)
N (0.988, 0.808, 0.888)

=====

No. 8
Here is a relaxed Zn3Os crystal from OQMD via LeMat-Bulk. Energies are from PBE-GGA.

Values from the calculation:
DFT total energy in eV/atom: -3.64
V in Å³/f.u.: 56
Spin magnetization in μB per atom: 0.0005
Energy of formation from the pure elements in kcal/mol of atoms: 2.7

abc: 5.362 9.303 4.495
angles: 90.00 90.00 90.00
Atoms (fractional coordinates):
Zn (0.000, 0.081, 0.250)
Zn (0.000, 0.919, 0.750)
Zn (0.247, 0.172, 0.750)
Zn (0.247, 0.828, 0.250)
Zn (0.253, 0.328, 0.250)
Zn (0.253, 0.672, 0.750)
Zn (0.500, 0.419, 0.750)
Zn (0.500, 0.581, 0.250)
Zn (0.747, 0.328, 0.250)
Zn (0.747, 0.672, 0.750)
Zn (0.753, 0.172, 0.750)
Zn (0.753, 0.828, 0.250)
Os (0.000, 0.425, 0.750)
Os (0.000, 0.575, 0.250)
Os (0.500, 0.075, 0.250)
Os (0.500, 0.925, 0.750)